Entry 1:
Density functional theory data (GGA-PBE) for a geometry-optimized RhCSCl2 structure.

Summary:
For the energy above the most stable polymorph in this dataset, the calculation gives 0.006 eV per atom. As for the space group: P4/mmm, No. 123. The calculation puts the total magnetization at 1.3 Bohr magnetons per cell.

Lattice parameters (Å, degrees): 4.904 4.904 4.436 90.00 90.00 90.00
Last column: magnetic moment on the atom in μB.
Atoms (fractional coordinates):
Cl (0.500, 0.000, 0.000)  -0.03
Rh (0.000, 0.000, 0.000)  -0.06
C (0.500, 0.500, 0.500)  0.81
S (0.000, 0.000, 0.500)  -0.09
Cl (0.000, 0.500, 0.000)  -0.03


Entry 2:
Density functional theory data (GGA-PBE) for a geometry-optimized RhCSe2Cl structure.

Summary:
The uncorrected energy is -17.742 eV for the cell shown. As for the space group: P4/mmm, No. 123. The calculation puts the total magnetization at 0.3 Bohr magnetons per cell.

Lattice parameters (Å, degrees): 4.894 4.721 4.894 90.00 90.00 90.00
Last column: magnetic moment on the atom in μB.
Atoms (fractional coordinates):
Se (0.500, 0.000, 0.000)  -0.51
Se (0.000, 0.000, 0.500)  -0.40
C (0.500, 0.500, 0.500)  0.74
Cl (0.000, 0.500, 0.000)  0.00
Rh (0.000, 0.000, 0.000)  -0.37


Entry 3:
Density functional theory data (GGA-PBE) for a geometry-optimized SnRh2CCl structure.

Summary:
The uncorrected energy is -20.370 eV for the cell shown. As for the space group: P4/mmm, No. 123. The calculation puts the total magnetization at 2.1 Bohr magnetons per cell.

Lattice parameters (Å, degrees): 4.362 5.476 4.362 90.00 90.00 90.00
Last column: magnetic moment on the atom in μB.
Atoms (fractional coordinates):
Cl (0.000, 0.000, 0.000)  0.04
Rh (0.500, 0.000, 0.000)  0.47
Sn (0.000, 0.500, 0.000)  0.05
C (0.500, 0.500, 0.500)  0.58
Rh (0.000, 0.000, 0.500)  0.40


Entry 4:
Density functional theory data (GGA-PBE) for a geometry-optimized Sr2RhCCl structure.

Summary:
The uncorrected energy is -25.497 eV for the cell shown. As for the space group: P4/mmm, No. 123. The calculation puts the total magnetization at 0.0 Bohr magnetons per cell.

Lattice parameters (Å, degrees): 5.522 5.522 3.871 90.00 90.00 90.00
Atoms (fractional coordinates):
Sr (0.500, 0.000, 0.000)
Cl (0.500, 0.500, 0.500)
Sr (0.000, 0.500, 0.000)
Rh (0.000, 0.000, 0.500)
C (0.000, 0.000, 0.000)


Entry 5:
Density functional theory data (GGA-PBE) for a geometry-optimized SrRhCCl2 structure.

Summary:
The uncorrected energy is -23.816 eV for the cell shown. As for the space group: P4/mmm, No. 123. The calculation puts the total magnetization at 0.0 Bohr magnetons per cell.

Lattice parameters (Å, degrees): 5.138 3.870 5.138 90.00 90.00 90.00
Atoms (fractional coordinates):
Cl (0.500, 0.000, 0.000)
Cl (0.000, 0.000, 0.500)
C (0.000, 0.500, 0.000)
Rh (0.000, 0.000, 0.000)
Sr (0.500, 0.500, 0.500)


Entry 6:
Density functional theory data (GGA-PBE) for a geometry-optimized Ta2RhCCl structure.

Summary:
The uncorrected energy is -37.929 eV for the cell shown. As for the space group: P4/mmm, No. 123. The calculation puts the total magnetization at 0.0 Bohr magnetons per cell.

Lattice parameters (Å, degrees): 4.302 4.309 4.302 90.00 90.00 90.00
Atoms (fractional coordinates):
Cl (0.000, 0.500, 0.000)
Rh (0.500, 0.500, 0.500)
Ta (0.500, 0.000, 0.000)
Ta (0.000, 0.000, 0.500)
C (0.000, 0.000, 0.000)